Entry 1:
A plane-wave DFT calculation with meta-GGA SCAN was carried out for Ba3As14 at its PBEsol-relaxed geometry.

Cell: 6.8141 13.6102 11.9352 Å, 90.00 124.55 90.00°
Closest atoms and distances in Å follow each position.
Fractional positions:
Ba 0.0000 0.0000 0.0000  8 As 3.35-3.46
Ba 0.0000 0.5000 0.5000  8 As 3.35-3.46
Ba 0.4413 0.1569 0.6338  8 As 3.29-3.64
Ba 0.4413 0.3431 0.1338  8 As 3.29-3.64
Ba 0.5587 0.6569 0.8662  8 As 3.29-3.64
Ba 0.5587 0.8431 0.3662  8 As 3.29-3.64
As 0.0014 0.2213 0.8734  2 As 2.43
As 0.0014 0.2787 0.3734  2 As 2.43
As 0.0672 0.0056 0.6855  3 As 2.42-2.52
As 0.0672 0.4944 0.1855  3 As 2.42-2.52
As 0.1037 0.2207 0.2200  3 As 2.43-2.46
As 0.1037 0.2793 0.7200  3 As 2.43-2.46
As 0.2324 0.6403 0.1349  3 As 2.43-2.56
As 0.2324 0.8597 0.6349  3 As 2.43-2.56
As 0.2758 0.0615 0.3285  2 As 2.42-2.45
As 0.2758 0.4385 0.8285  2 As 2.42-2.45
As 0.3022 0.6905 0.4807  2 As 2.41-2.46
As 0.3022 0.8095 0.9807  2 As 2.41-2.46
As 0.4276 0.5774 0.3780  3 As 2.41-2.56
As 0.4276 0.9226 0.8780  3 As 2.41-2.56
As 0.5724 0.0774 0.1220  3 As 2.41-2.56
As 0.5724 0.4226 0.6220  3 As 2.41-2.56
As 0.6978 0.1905 0.0193  2 As 2.41-2.46
As 0.6978 0.3095 0.5193  2 As 2.41-2.46
As 0.7242 0.5615 0.1715  2 As 2.42-2.45
As 0.7242 0.9385 0.6715  2 As 2.42-2.45
As 0.7676 0.1403 0.3651  3 As 2.43-2.56
As 0.7676 0.3597 0.8651  3 As 2.43-2.56
As 0.8963 0.7207 0.2800  3 As 2.43-2.46
As 0.8963 0.7793 0.7800  3 As 2.43-2.46
As 0.9328 0.5056 0.8145  3 As 2.42-2.52
As 0.9328 0.9944 0.3145  3 As 2.42-2.52
As 0.9986 0.7213 0.6266  2 As 2.43
As 0.9986 0.7787 0.1266  2 As 2.43

Computed properties:
Theoretical density = 5.32 g/cm³
Total magnetic moment = 0.00 μB/f.u.
Formation energy = -0.54 eV per atom
Volume = 911.6 Å³ per cell

Entry 2:
A plane-wave DFT calculation with meta-GGA SCAN was carried out for BeSiW at its PBEsol-relaxed geometry.

Cell: 5.5609 5.5609 5.5609 Å, 90.00 90.00 90.00°
Closest atoms and distances in Å follow each position.
Fractional positions:
Be 0.0000 0.0000 0.0000  4 Si 2.41
Be 0.0000 0.5000 0.5000  4 Si 2.41
Be 0.5000 0.0000 0.5000  4 Si 2.41
Be 0.5000 0.5000 0.0000  4 Si 2.41
Si 0.2500 0.2500 0.7500  4 W 2.41, 4 Be 2.41
Si 0.2500 0.7500 0.2500  4 W 2.41, 4 Be 2.41
Si 0.7500 0.2500 0.2500  4 W 2.41, 4 Be 2.41
Si 0.7500 0.7500 0.7500  4 W 2.41, 4 Be 2.41
W 0.0000 0.0000 0.5000  4 Si 2.41
W 0.0000 0.5000 0.0000  4 Si 2.41
W 0.5000 0.0000 0.0000  4 Si 2.41
W 0.5000 0.5000 0.5000  4 Si 2.41

Computed properties:
Theoretical density = 8.53 g/cm³
Total magnetic moment = 1.38 μB/f.u.
Excess energy over the best structure of this formula in the dataset = 511.2 meV per atom
Uncorrected formation energy = 0.602 eV/atom
Volume = 172.0 Å³ per cell

Entry 3:
A plane-wave DFT calculation with meta-GGA SCAN was carried out for MoOsRh2 at its PBEsol-relaxed geometry.

Cell: 3.7881 3.7881 7.7689 Å, 90.00 90.00 90.00°
Closest atoms and distances in Å follow each position.
Fractional positions:
Mo 0.0000 0.0000 0.0000  4 Os 2.68, 8 Rh 2.71
Mo 0.5000 0.5000 0.5000  4 Os 2.68, 8 Rh 2.71
Os 0.0000 0.0000 0.5000  4 Mo 2.68, 8 Rh 2.71
Os 0.5000 0.5000 0.0000  4 Mo 2.68, 8 Rh 2.71
Rh 0.0000 0.5000 0.2500  4 Rh 2.68, 4 Mo 2.71, 4 Os 2.71
Rh 0.0000 0.5000 0.7500  4 Rh 2.68, 4 Mo 2.71, 4 Os 2.71
Rh 0.5000 0.0000 0.2500  4 Rh 2.68, 4 Mo 2.71, 4 Os 2.71
Rh 0.5000 0.0000 0.7500  4 Rh 2.68, 4 Mo 2.71, 4 Os 2.71

Computed properties:
Theoretical density = 14.66 g/cm³
Total magnetic moment = 0.00 μB/f.u.
Formation energy = -0.10 eV per atom
Excess energy over the best structure of this formula in the dataset = 62.0 meV per atom
Volume = 111.5 Å³ per cell

Entry 4:
A plane-wave DFT calculation with meta-GGA SCAN was carried out for SnIr3Br at its PBEsol-relaxed geometry.

Cell: 4.8786 4.8786 4.8786 Å, 90.00 90.00 90.00°
Closest atoms and distances in Å follow each position.
Fractional positions:
Sn 0.0000 0.0000 0.0000  6 Ir 2.44
Ir 0.0000 0.0000 0.5000  2 Sn 2.44
Ir 0.0000 0.5000 0.0000  2 Sn 2.44
Ir 0.5000 0.0000 0.0000  2 Sn 2.44
Br 0.5000 0.5000 0.5000  12 Ir 3.45

Computed properties:
Theoretical density = 11.09 g/cm³
Total magnetic moment = 3.22 μB/f.u.
Uncorrected formation energy = 2.183 eV/atom
Volume = 116.1 Å³ per cell

Entry 5:
A plane-wave DFT calculation with meta-GGA SCAN was carried out for YNiPd2N at its PBEsol-relaxed geometry.

Cell: 4.9542 4.9542 4.6506 Å, 90.00 90.00 90.00°
Closest atoms and distances in Å follow each position.
Fractional positions:
Y 0.0000 0.0000 0.0000  2 Ni 2.33, 4 Pd 2.48
Ni 0.0000 0.0000 0.5000  2 Y 2.33
Pd 0.0000 0.5000 0.0000  2 Y 2.48
Pd 0.5000 0.0000 0.0000  2 Y 2.48
N 0.5000 0.5000 0.5000  8 Pd 3.40, 4 Ni 3.50

Computed properties:
Theoretical density = 5.45 g/cm³
Total magnetic moment = 2.07 μB/f.u.
Uncorrected formation energy = 1.970 eV/atom
Volume = 114.1 Å³ per cell

Entry 6:
A plane-wave DFT calculation with meta-GGA SCAN was carried out for Sr2HfBAs at its PBEsol-relaxed geometry.

Cell: 6.0829 6.0829 3.9016 Å, 90.00 90.00 90.00°
Closest atoms and distances in Å follow each position.
Fractional positions:
Sr 0.0000 0.5000 0.0000  2 As 3.04
Sr 0.5000 0.0000 0.0000  2 As 3.04
Hf 0.0000 0.0000 0.5000  8 Sr 3.61, 2 Hf 3.90
B 0.5000 0.5000 0.5000  2 As 1.95
As 0.5000 0.5000 0.0000  2 B 1.95

Computed properties:
Theoretical density = 5.05 g/cm³
Total magnetic moment = 4.00 μB/f.u.
Formation energy = 0.85 eV per atom
Volume = 144.4 Å³ per cell

Entry 7:
A plane-wave DFT calculation with meta-GGA SCAN was carried out for LaTa2Se at its PBEsol-relaxed geometry.

Cell: 4.0564 4.0564 5.1470 Å, 90.00 90.00 90.00°
Closest atoms and distances in Å follow each position.
Fractional positions:
La 0.0000 0.0000 0.0000  4 Se 2.87
Ta 0.0000 0.5000 0.5000  4 Ta 2.87
Ta 0.5000 0.0000 0.5000  4 Ta 2.87
Se 0.5000 0.5000 0.0000  4 La 2.87

Computed properties:
Theoretical density = 11.37 g/cm³
Total magnetic moment = 0.00 μB/f.u.
Uncorrected formation energy = 0.230 eV/atom
Volume = 84.7 Å³ per cell

Entry 8:
A plane-wave DFT calculation with meta-GGA SCAN was carried out for BaH2O at its PBEsol-relaxed geometry.

Cell: 4.0248 4.0248 6.7182 Å, 90.00 90.00 90.00°
Closest atoms and distances in Å follow each position.
Fractional positions:
Ba 0.2500 0.2500 0.2355  5 O 2.65-2.89, 8 H 2.68-2.89
Ba 0.7500 0.7500 0.7645  5 O 2.65-2.89, 8 H 2.68-2.89
H 0.2500 0.2500 0.6932  1 O 0.99
H 0.2500 0.7500 0.5000  4 H 2.39
H 0.7500 0.2500 0.5000  4 H 2.39
H 0.7500 0.7500 0.3068  1 O 0.99
O 0.2500 0.2500 0.8404  1 H 0.99
O 0.7500 0.7500 0.1596  1 H 0.99

Computed properties:
Theoretical density = 4.74 g/cm³
Total magnetic moment = 0.00 μB/f.u.
DFT total energy = -14.6248 eV per atom
Volume = 108.8 Å³ per cell

Entry 9:
A plane-wave DFT calculation with meta-GGA SCAN was carried out for Cr2Os at its PBEsol-relaxed geometry.

Cell: 5.6499 5.6499 5.6499 Å, 90.00 90.00 90.00°
Closest atoms and distances in Å follow each position.
Fractional positions:
Cr 0.2500 0.2500 0.2500  4 Os 2.45
Cr 0.2500 0.2500 0.7500  4 Os 2.45
Cr 0.2500 0.7500 0.2500  4 Os 2.45
Cr 0.2500 0.7500 0.7500  4 Os 2.45
Cr 0.7500 0.2500 0.2500  4 Os 2.45
Cr 0.7500 0.2500 0.7500  4 Os 2.45
Cr 0.7500 0.7500 0.2500  4 Os 2.45
Cr 0.7500 0.7500 0.7500  4 Os 2.45
Os 0.0000 0.0000 0.0000  8 Cr 2.45
Os 0.0000 0.5000 0.5000  8 Cr 2.45
Os 0.5000 0.0000 0.5000  8 Cr 2.45
Os 0.5000 0.5000 0.0000  8 Cr 2.45

Computed properties:
Theoretical density = 10.84 g/cm³
Total magnetic moment = 3.78 μB/f.u.
Formation energy = 0.53 eV per atom
Volume = 180.4 Å³ per cell

Entry 10:
A plane-wave DFT calculation with meta-GGA SCAN was carried out for SrYTe2 at its PBEsol-relaxed geometry.

Cell: 4.4176 4.4176 22.2913 Å, 90.00 90.00 120.00°
Closest atoms and distances in Å follow each position.
Fractional positions:
Sr 0.0000 0.0000 0.0000  6 Te 3.24
Sr 0.3333 0.6667 0.6667  6 Te 3.24
Sr 0.6667 0.3333 0.3333  6 Te 3.24
Y 0.0000 0.0000 0.5000  6 Te 3.08
Y 0.3333 0.6667 0.1667  6 Te 3.08
Y 0.6667 0.3333 0.8333  6 Te 3.08
Te 0.0000 0.0000 0.2439  3 Y 3.08, 3 Sr 3.24
Te 0.0000 0.0000 0.7561  3 Y 3.08, 3 Sr 3.24
Te 0.3333 0.6667 0.4228  3 Y 3.08, 3 Sr 3.24
Te 0.3333 0.6667 0.9105  3 Y 3.08, 3 Sr 3.24
Te 0.6667 0.3333 0.0895  3 Y 3.08, 3 Sr 3.24
Te 0.6667 0.3333 0.5772  3 Y 3.08, 3 Sr 3.24

Computed properties:
Theoretical density = 5.71 g/cm³
Total magnetic moment = 0.00 μB/f.u.
Excess energy over the best structure of this formula in the dataset = 0.0 meV per atom
Uncorrected formation energy = -1.678 eV/atom
Volume = 376.7 Å³ per cell

Entry 11:
A plane-wave DFT calculation with meta-GGA SCAN was carried out for TlSi2As at its PBEsol-relaxed geometry.

Cell: 4.6369 4.6369 3.6022 Å, 90.00 90.00 90.00°
Closest atoms and distances in Å follow each position.
Fractional positions:
Tl 0.0000 0.0000 0.0000  8 Si 2.94, 4 As 3.28
Si 0.0000 0.5000 0.5000  4 Tl 2.94, 4 As 2.94, 4 Si 3.28
Si 0.5000 0.0000 0.5000  4 Tl 2.94, 4 As 2.94, 4 Si 3.28
As 0.5000 0.5000 0.0000  8 Si 2.94, 4 Tl 3.28

Computed properties:
Theoretical density = 7.19 g/cm³
Total magnetic moment = 0.00 μB/f.u.
Excess energy over the best structure of this formula in the dataset = 313.2 meV per atom
Uncorrected formation energy = 0.809 eV/atom
Volume = 77.5 Å³ per cell

Entry 12:
A plane-wave DFT calculation with meta-GGA SCAN was carried out for Cr3NiPb at its PBEsol-relaxed geometry.

Cell: 4.4105 4.4105 4.4105 Å, 90.00 90.00 90.00°
Closest atoms and distances in Å follow each position.
Fractional positions:
Cr 0.0000 0.0000 0.5000  2 Ni 2.21
Cr 0.0000 0.5000 0.0000  2 Ni 2.21
Cr 0.5000 0.0000 0.0000  2 Ni 2.21
Ni 0.0000 0.0000 0.0000  6 Cr 2.21
Pb 0.5000 0.5000 0.5000  12 Cr 3.12

Computed properties:
Theoretical density = 8.17 g/cm³
Total magnetic moment = 11.02 μB/f.u.
Formation energy = 0.80 eV per atom
Volume = 85.8 Å³ per cell

Entry 13:
A plane-wave DFT calculation with meta-GGA SCAN was carried out for AlGaSbI2 at its PBEsol-relaxed geometry.

Cell: 5.5359 5.5359 5.3159 Å, 90.00 90.00 90.00°
Closest atoms and distances in Å follow each position.
Fractional positions:
Al 0.0000 0.0000 0.0000  8 I 3.84, 4 Sb 3.91
Ga 0.5000 0.5000 0.5000  2 Sb 2.66, 4 I 2.77
Sb 0.5000 0.5000 0.0000  2 Ga 2.66
I 0.0000 0.5000 0.5000  2 Ga 2.77
I 0.5000 0.0000 0.5000  2 Ga 2.77

Computed properties:
Theoretical density = 4.81 g/cm³
Total magnetic moment = 0.00 μB/f.u.
Uncorrected formation energy = 0.424 eV/atom
Volume = 162.9 Å³ per cell